(1)
Entry from Alexandria via LeMat-Bulk: crystalline Gd2SnI at its relaxed geometry (PBE).

Summary:
Size of the total moment = 3.82 μB/atom
Offset from the most stable computed form = 0.332 eV/f.u.
Energy = -9.1589 eV per atom
Uncorrected formation energy = -0.730 eV per atom

Cell and atoms, written as extended XYZ:
```
4
Lattice="3.742 0.000 0.000 0.000 3.742 0.000 0.000 0.000 8.183" Properties=species:S:1:pos:R:3 pbc="T T T"
Gd 0.000 0.000 1.904
Gd 0.000 0.000 6.279
Sn 1.871 1.871 0.000
I 1.871 1.871 4.092
```

***

(2)
Entry from Alexandria via LeMat-Bulk: crystalline Tb2GdI at its relaxed geometry (PBE).

Summary:
Size of the total moment = 1.84 μB/atom
Energy = -6.5725 eV per atom
Uncorrected formation energy = -0.350 eV per atom

Cell and atoms, written as extended XYZ:
```
4
Lattice="1.874 1.082 10.524 -1.874 1.082 10.524 0.000 -2.164 10.524" Properties=species:S:1:pos:R:3 pbc="T T T"
Tb 0.000 0.000 7.740
Tb 0.000 0.000 23.833
Gd 0.000 0.000 0.000
I 0.000 0.000 15.787
```

***

(3)
Entry from Alexandria via LeMat-Bulk: crystalline TbGd2I at its relaxed geometry (PBE).

Summary:
Size of the total moment = 3.73 μB/atom
Offset from the most stable computed form = 0.171 eV/f.u.
Energy = -8.9129 eV per atom
Uncorrected formation energy = -0.327 eV per atom

Cell and atoms, written as extended XYZ:
```
4
Lattice="3.680 0.000 0.000 0.000 3.680 0.000 0.000 0.000 9.529" Properties=species:S:1:pos:R:3 pbc="T T T"
Tb 0.000 0.000 0.000
Gd 1.840 1.840 2.435
Gd 1.840 1.840 7.094
I 0.000 0.000 4.764
```

***

(4)
Entry from Alexandria via LeMat-Bulk: crystalline TbGd2I at its relaxed geometry (PBE).

Summary:
Size of the total moment = 3.68 μB/atom
Offset from the most stable computed form = 0.000 eV/f.u.
Energy = -8.9558 eV per atom
Uncorrected formation energy = -0.370 eV per atom

Cell and atoms, written as extended XYZ:
```
4
Lattice="1.884 1.088 10.569 -1.884 1.088 10.569 0.000 -2.176 10.569" Properties=species:S:1:pos:R:3 pbc="T T T"
Tb 0.000 0.000 0.000
Gd 0.000 0.000 7.778
Gd 0.000 0.000 23.929
I 0.000 0.000 15.853
```

***

(5)
Entry from Alexandria via LeMat-Bulk: crystalline TbGdTeI at its relaxed geometry (PBE).

Summary:
Size of the total moment = 1.88 μB/atom
Energy = -6.8462 eV per atom
Uncorrected formation energy = -0.995 eV per atom

Cell and atoms, written as extended XYZ:
```
4
Lattice="0.000 3.802 3.802 3.802 0.000 3.802 3.802 3.802 0.000" Properties=species:S:1:pos:R:3 pbc="T T T"
Tb 0.000 0.000 0.000
Gd 3.802 3.802 3.802
Te 1.901 1.901 1.901
I 5.703 5.703 5.703
```

***

(6)
Entry from Alexandria via LeMat-Bulk: crystalline GdTeI at its relaxed geometry (PBE).

Summary:
Size of the total moment = 2.37 μB/atom
Offset from the most stable computed form = 0.589 eV/f.u.
Energy = -7.4480 eV per atom
Uncorrected formation energy = -1.190 eV per atom

Cell and atoms, written as extended XYZ:
```
3
Lattice="-1.935 1.935 7.310 1.935 -1.935 7.310 1.935 1.935 -7.310" Properties=species:S:1:pos:R:3 pbc="T T T"
Gd 0.000 0.000 0.000
Te 0.000 0.000 5.723
I 0.000 0.000 9.392
```

***

(7)
Entry from Alexandria via LeMat-Bulk: crystalline GdTeI at its relaxed geometry (PBE).

Summary:
Size of the total moment = 2.33 μB/atom
Offset from the most stable computed form = 0.540 eV/f.u.
Energy = -7.4643 eV per atom
Uncorrected formation energy = -1.207 eV per atom

Cell and atoms, written as extended XYZ:
```
3
Lattice="0.000 3.789 3.789 3.789 0.000 3.789 3.789 3.789 0.000" Properties=species:S:1:pos:R:3 pbc="T T T"
Gd 0.000 0.000 0.000
Te 1.894 1.894 1.894
I 5.683 5.683 5.683
```

***

(8)
Entry from Alexandria via LeMat-Bulk: crystalline GdTeI at its relaxed geometry (PBE).

Summary:
Size of the total moment = 2.33 μB/atom
Offset from the most stable computed form = 0.000 eV/f.u.
Energy = -7.6443 eV per atom
Uncorrected formation energy = -1.387 eV per atom

Cell and atoms, written as extended XYZ:
```
3
Lattice="4.435 0.000 0.000 -2.217 3.840 0.000 0.000 0.000 7.393" Properties=species:S:1:pos:R:3 pbc="T T T"
Gd 0.000 0.000 0.000
Te 0.000 2.560 5.786
I 2.217 1.280 1.966
```

***

(9)
Entry from Alexandria via LeMat-Bulk: crystalline Gd2ThI at its relaxed geometry (PBE).

Summary:
Size of the total moment = 3.56 μB/atom
Offset from the most stable computed form = 0.234 eV/f.u.
Energy = -9.6147 eV per atom
Uncorrected formation energy = -0.332 eV per atom

Cell and atoms, written as extended XYZ:
```
4
Lattice="3.700 0.000 0.000 0.000 3.700 0.000 0.000 0.000 9.463" Properties=species:S:1:pos:R:3 pbc="T T T"
Gd 0.000 0.000 2.347
Gd 0.000 0.000 7.115
Th 1.850 1.850 0.000
I 1.850 1.850 4.731
```

***

(10)
Entry from Alexandria via LeMat-Bulk: crystalline Gd2ThI at its relaxed geometry (PBE).

Summary:
Size of the total moment = 3.54 μB/atom
Offset from the most stable computed form = 0.000 eV/f.u.
Energy = -9.6732 eV per atom
Uncorrected formation energy = -0.390 eV per atom

Cell and atoms, written as extended XYZ:
```
4
Lattice="1.877 1.083 10.471 -1.877 1.083 10.471 0.000 -2.167 10.471" Properties=species:S:1:pos:R:3 pbc="T T T"
Gd 0.000 0.000 7.730
Gd 0.000 0.000 23.684
Th 0.000 0.000 0.000
I 0.000 0.000 15.707
```

***

(11)
Entry from Alexandria via LeMat-Bulk: crystalline GdTmI2 at its relaxed geometry (PBE).

Summary:
Size of the total moment = 1.77 μB/atom
Energy = -6.0493 eV per atom
Uncorrected formation energy = -0.636 eV per atom

Cell and atoms, written as extended XYZ:
```
4
Lattice="1.930 1.114 10.636 -1.930 1.114 10.636 0.000 -2.228 10.636" Properties=species:S:1:pos:R:3 pbc="T T T"
Gd 0.000 0.000 0.000
Tm 0.000 0.000 15.954
I 0.000 0.000 12.885
I 0.000 0.000 19.024
```

***

(12)
Entry from Alexandria via LeMat-Bulk: crystalline GdTm2I at its relaxed geometry (PBE).

Summary:
Size of the total moment = 1.83 μB/atom
Energy = -6.4542 eV per atom
Uncorrected formation energy = -0.311 eV per atom

Cell and atoms, written as extended XYZ:
```
4
Lattice="1.854 1.071 10.380 -1.854 1.071 10.380 0.000 -2.141 10.380" Properties=species:S:1:pos:R:3 pbc="T T T"
Gd 0.000 0.000 0.000
Tm 0.000 0.000 7.649
Tm 0.000 0.000 23.492
I 0.000 0.000 15.571
```

***

(13)
Entry from Alexandria via LeMat-Bulk: crystalline GdTmI at its relaxed geometry (PBE).

Summary:
Size of the total moment = 2.45 μB/atom
Energy = -6.8599 eV per atom
Uncorrected formation energy = -0.159 eV per atom

Cell and atoms, written as extended XYZ:
```
3
Lattice="5.383 0.000 0.000 -2.691 4.662 0.000 0.000 0.000 3.767" Properties=species:S:1:pos:R:3 pbc="T T T"
Gd 0.000 0.000 0.000
Tm 2.691 1.554 1.884
I 0.000 3.108 1.884
```

***

(14)
Entry from Alexandria via LeMat-Bulk: crystalline GdYI at its relaxed geometry (PBE).

Summary:
Size of the total moment = 2.51 μB/atom
Energy = -7.9069 eV per atom
Uncorrected formation energy = -0.542 eV per atom

Cell and atoms, written as extended XYZ:
```
3
Lattice="3.860 0.000 0.000 -1.930 3.342 0.000 0.000 0.000 7.562" Properties=species:S:1:pos:R:3 pbc="T T T"
Gd 0.000 0.000 0.000
Y 1.930 1.114 2.645
I 0.000 2.228 5.070
```

***

(15)
Entry from Alexandria via LeMat-Bulk: crystalline Gd2YI at its relaxed geometry (PBE).

Summary:
Size of the total moment = 3.75 μB/atom
Offset from the most stable computed form = 0.178 eV/f.u.
Energy = -9.3728 eV per atom
Uncorrected formation energy = -0.329 eV per atom

Cell and atoms, written as extended XYZ:
```
4
Lattice="3.680 0.000 0.000 0.000 3.680 0.000 0.000 0.000 9.549" Properties=species:S:1:pos:R:3 pbc="T T T"
Gd 0.000 0.000 2.313
Gd 0.000 0.000 7.236
Y 1.840 1.840 4.774
I 1.840 1.840 0.000
```

***

(16)
Entry from Alexandria via LeMat-Bulk: crystalline GdY2I at its relaxed geometry (PBE).

Summary:
Size of the total moment = 2.22 μB/atom
Energy = -7.2042 eV per atom
Uncorrected formation energy = -0.064 eV per atom

Cell and atoms, written as extended XYZ:
```
4
Lattice="1.822 1.052 11.551 -1.822 1.052 11.551 0.000 -2.104 11.551" Properties=species:S:1:pos:R:3 pbc="T T T"
Gd 0.000 0.000 0.000
Y 0.000 0.000 3.294
Y 0.000 0.000 31.360
I 0.000 0.000 17.327
```

***

(17)
Entry from Alexandria via LeMat-Bulk: crystalline GdYI2 at its relaxed geometry (PBE).

Summary:
Size of the total moment = 1.89 μB/atom
Energy = -6.5758 eV per atom
Uncorrected formation energy = -0.665 eV per atom

Cell and atoms, written as extended XYZ:
```
4
Lattice="1.937 1.118 10.758 -1.937 1.118 10.758 0.000 -2.236 10.758" Properties=species:S:1:pos:R:3 pbc="T T T"
Gd 0.000 0.000 0.000
Y 0.000 0.000 16.138
I 0.000 0.000 3.195
I 0.000 0.000 29.080
```

***

(18)
Entry from Alexandria via LeMat-Bulk: crystalline Gd2YI at its relaxed geometry (PBE).

Summary:
Size of the total moment = 3.75 μB/atom
Offset from the most stable computed form = 0.000 eV/f.u.
Energy = -9.4172 eV per atom
Uncorrected formation energy = -0.373 eV per atom

Cell and atoms, written as extended XYZ:
```
4
Lattice="1.892 1.092 10.569 -1.892 1.092 10.569 0.000 -2.184 10.569" Properties=species:S:1:pos:R:3 pbc="T T T"
Gd 0.000 0.000 7.772
Gd 0.000 0.000 23.935
Y 0.000 0.000 0.000
I 0.000 0.000 15.854
```

***

(19)
Entry from Alexandria via LeMat-Bulk: crystalline GdIn3 at its relaxed geometry (PBE).

Summary:
Size of the total moment = 1.90 μB/atom
Energy = -5.8467 eV per atom
E_form = -0.273 eV per atom

Cell and atoms, written as extended XYZ:
```
4
Lattice="-1.725 5.426 2.849 1.725 -5.426 2.849 1.725 5.426 -2.849" Properties=species:S:1:pos:R:3 pbc="T T T"
Gd 0.000 0.000 0.000
In 1.725 2.707 0.985
In 0.000 5.426 0.040
In 0.000 2.719 3.833
```

***

(20)
Entry from Alexandria via LeMat-Bulk: crystalline Gd3In at its relaxed geometry (PBE).

Summary:
Size of the total moment = 5.71 μB/atom
Energy = -11.5524 eV per atom
E_form = -0.307 eV per atom

Cell and atoms, written as extended XYZ:
```
4
Lattice="4.876 0.000 0.000 0.000 4.876 0.000 0.000 0.000 4.876" Properties=species:S:1:pos:R:3 pbc="T T T"
Gd 0.000 0.000 2.438
Gd 0.000 2.438 0.000
Gd 2.438 0.000 0.000
In 2.438 2.438 2.438
```

***

(21)
Entry from Alexandria via LeMat-Bulk: crystalline Gd3In at its relaxed geometry (PBE).

Summary:
Size of the total moment = 2.04 μB/atom
Energy = -11.4012 eV per atom
E_form = -0.156 eV per atom

Cell and atoms, written as extended XYZ:
```
4
Lattice="0.000 3.878 3.878 3.878 0.000 3.878 3.878 3.878 0.000" Properties=species:S:1:pos:R:3 pbc="T T T"
Gd 0.000 0.000 0.000
Gd 1.939 1.939 1.939
Gd 5.817 5.817 5.817
In 3.878 3.878 3.878
```

***

(22)
Entry from Alexandria via LeMat-Bulk: crystalline Gd3In at its relaxed geometry (PBE).

Summary:
Size of the total moment = 1.80 μB/atom
Energy = -11.4790 eV per atom
E_form = -0.234 eV per atom

Cell and atoms, written as extended XYZ:
```
4
Lattice="-1.804 5.663 2.917 1.804 -5.663 2.917 1.804 5.663 -2.917" Properties=species:S:1:pos:R:3 pbc="T T T"
Gd 0.000 0.000 0.000
Gd 1.804 3.092 0.698
Gd 0.000 2.571 3.616
In 1.804 0.000 2.759
```

***

(23)
Entry from Alexandria via LeMat-Bulk: crystalline GdIn3 at its relaxed geometry (PBE).

Summary:
Size of the total moment = 1.81 μB/atom
Energy = -5.7682 eV per atom
E_form = -0.194 eV per atom

Cell and atoms, written as extended XYZ:
```
4
Lattice="0.000 3.767 3.767 3.767 0.000 3.767 3.767 3.767 0.000" Properties=species:S:1:pos:R:3 pbc="T T T"
Gd 0.000 0.000 0.000
In 1.884 1.884 1.884
In 3.767 3.767 3.767
In 5.651 5.651 5.651
```

***

(24)
Entry from Alexandria via LeMat-Bulk: crystalline GdIn3 at its relaxed geometry (PBE).

Summary:
Size of the total moment = 1.84 μB/atom
Energy = -5.9233 eV per atom
E_form = -0.349 eV per atom

Cell and atoms, written as extended XYZ:
```
4
Lattice="-2.274 2.274 5.002 2.274 -2.274 5.002 2.274 2.274 -5.002" Properties=species:S:1:pos:R:3 pbc="T T T"
Gd 0.000 0.000 0.000
In 2.274 0.000 2.501
In 0.000 0.000 5.002
In 0.000 2.274 2.501
```

***

(25)
Entry from Alexandria via LeMat-Bulk: crystalline Gd2In at its relaxed geometry (PBE).

Summary:
Size of the total moment = 5.06 μB/atom
Energy = -10.6887 eV per atom
E_form = -0.389 eV per atom

Cell and atoms, written as extended XYZ:
```
6
Lattice="5.437 0.000 0.000 -2.719 4.709 0.000 0.000 0.000 6.764" Properties=species:S:1:pos:R:3 pbc="T T T"
Gd 0.000 0.000 0.000
Gd 0.000 0.000 3.382
Gd 0.000 3.139 1.691
Gd 2.719 1.570 5.073
In 0.000 3.139 5.073
In 2.719 1.570 1.691
```

***

(26)
Entry from Alexandria via LeMat-Bulk: crystalline GdIn3 at its relaxed geometry (PBE).

Summary:
Size of the total moment = 1.76 μB/atom
Energy = -6.0101 eV per atom
E_form = -0.436 eV per atom

Cell and atoms, written as extended XYZ:
```
4
Lattice="4.660 0.000 0.000 0.000 4.660 0.000 0.000 0.000 4.660" Properties=species:S:1:pos:R:3 pbc="T T T"
Gd 0.000 0.000 0.000
In 0.000 2.330 2.330
In 2.330 0.000 2.330
In 2.330 2.330 0.000
```

***

(27)
Entry from Alexandria via LeMat-Bulk: crystalline GdIn2Ir at its relaxed geometry (PBE).

Summary:
Size of the total moment = 1.86 μB/atom
Energy = -6.8686 eV per atom
E_form = 0.236 eV per atom

Cell and atoms, written as extended XYZ:
```
4
Lattice="1.633 0.943 10.495 -1.633 0.943 10.495 0.000 -1.886 10.495" Properties=species:S:1:pos:R:3 pbc="T T T"
Gd 0.000 0.000 0.000
In 0.000 0.000 3.197
In 0.000 0.000 28.287
Ir 0.000 0.000 15.742
```

***

(28)
Entry from Alexandria via LeMat-Bulk: crystalline Gd4InIr at its relaxed geometry (PBE).

Summary:
Size of the total moment = 2.44 μB/atom
Energy = -11.8772 eV per atom
E_form = -0.557 eV per atom

Cell and atoms, written as extended XYZ:
```
24
Lattice="0.000 6.894 6.894 6.894 0.000 6.894 6.894 6.894 0.000" Properties=species:S:1:pos:R:3 pbc="T T T"
Gd 6.894 6.894 2.625
Gd 6.894 2.625 6.894
Gd 11.163 6.894 6.894
Gd 5.529 5.529 5.529
Gd 8.260 8.260 5.529
Gd 8.260 5.529 8.260
Gd 10.341 10.341 7.698
Gd 10.341 7.698 10.341
Gd 12.984 10.341 10.341
Gd 5.529 8.260 8.260
Gd 2.625 6.894 6.894
Gd 6.894 11.163 6.894
Gd 6.894 6.894 11.163
Gd 7.698 10.341 10.341
Gd 10.341 12.984 10.341
Gd 10.341 10.341 12.984
In 2.307 2.307 2.307
In 4.587 4.587 2.307
In 4.587 2.307 4.587
In 2.307 4.587 4.587
Ir 8.396 5.393 5.393
Ir 5.393 8.396 5.393
Ir 5.393 5.393 8.396
Ir 8.396 8.396 8.396
```

***

(29)
Entry from Alexandria via LeMat-Bulk: crystalline LiGdInIr at its relaxed geometry (PBE).

Summary:
Size of the total moment = 1.88 μB/atom
Energy = -7.3951 eV per atom
E_form = -0.497 eV per atom

Cell and atoms, written as extended XYZ:
```
4
Lattice="0.000 3.387 3.387 3.387 0.000 3.387 3.387 3.387 0.000" Properties=species:S:1:pos:R:3 pbc="T T T"
Li 0.000 0.000 0.000
Gd 1.694 1.694 1.694
In 5.081 5.081 5.081
Ir 3.387 3.387 3.387
```

***

(30)
Entry from Alexandria via LeMat-Bulk: crystalline GdLuInIr at its relaxed geometry (PBE).

Summary:
Size of the total moment = 1.78 μB/atom
Energy = -8.1055 eV per atom
E_form = -0.555 eV per atom

Cell and atoms, written as extended XYZ:
```
4
Lattice="0.000 3.569 3.569 3.569 0.000 3.569 3.569 3.569 0.000" Properties=species:S:1:pos:R:3 pbc="T T T"
Gd 0.000 0.000 0.000
Lu 3.569 3.569 3.569
In 1.785 1.785 1.785
Ir 5.354 5.354 5.354
```